Below is crystalline PmGdSi2 at its relaxed geometry, with properties calculated at the GGA-PBE level.

Cell lengths 3.320, 3.320, 8.162 Å; angles 90.00, 90.00, 90.00 degrees
Each line ends with the local moment (μB).
Fractional positions:
Si (0.000, 0.000, 0.754)  -0.02
Si (0.000, 0.000, 0.246)  -0.02
Gd (0.500, 0.500, 0.000)  7.11
Pm (0.500, 0.500, 0.500)  -0.06

- calculated density (g/cm³) = 6.61
- ΔE_f (raw) (meV per atom) = -477